No. 1
Computed, not measured: a relaxed structure of Sc3ZnSi at the GGA-PBEsol level of DFT.

Cell: 4.945 4.945 4.945 Å, 90.00 90.00 90.00°
Fractional coordinates of all 5 atoms:
Sc 0.500 0.000 0.000
Sc 0.000 0.500 0.000
Sc 0.000 0.000 0.500
Zn 0.500 0.500 0.500
Si 0.000 0.000 0.000

The density of states at the Fermi level is 9.99 states/eV/cell. Its symmetry is No. 221. The calculation puts the formation energy (no corrections) at 0.2 eV/f.u.

---

No. 2
Computed, not measured: a relaxed structure of Y2CoSe at the GGA-PBEsol level of DFT.

Cell: 3.816 3.816 7.242 Å, 74.73 74.73 60.00°
Fractional coordinates of all 4 atoms:
Y 0.242 0.242 0.274
Y 0.758 0.758 0.726
Se 0.000 0.000 0.000
Co 0.500 0.500 0.500

The density of states at the Fermi level is 2.30 states/eV/cell. Its symmetry is No. 166. The calculation puts the formation energy (no corrections) at -3.4 eV/f.u.

---

No. 3
Computed, not measured: a relaxed structure of KSiPt at the GGA-PBEsol level of DFT.

Cell: 4.506 4.506 4.506 Å, 60.00 60.00 60.00°
Fractional coordinates of all 3 atoms:
Si 0.250 0.250 0.250
Pt 0.500 0.500 0.500
K 0.000 0.000 0.000

The density of states at the Fermi level is 1.93 states/eV/cell. Its symmetry is No. 216. The calculation puts the formation energy (no corrections) at 1.6 eV/f.u.

---

No. 4
Computed, not measured: a relaxed structure of Na2TiCrP3O12 at the GGA-PBEsol level of DFT.

Cell: 9.778 9.778 9.778 Å, 90.00 90.00 90.00°
Last column: magnetic moment on the atom in μB.
Fractional coordinates of all 76 atoms:
Na 0.352 0.852 0.648  0.00
Na 0.929 0.929 0.929  0.00
Na 0.571 0.071 0.429  0.00
Na 0.429 0.571 0.071  0.00
Na 0.071 0.429 0.571  0.00
Na 0.148 0.148 0.148  0.00
Na 0.648 0.352 0.852  0.00
Na 0.852 0.648 0.352  0.00
O 0.767 0.486 0.050  0.00
O 0.327 0.484 0.558  0.00
O 0.456 0.299 0.229  0.00
O 0.095 0.676 0.246  0.00
O 0.729 0.044 0.701  0.00
O 0.956 0.201 0.771  0.00
O 0.016 0.442 0.827  0.00
O 0.676 0.246 0.095  0.00
O 0.673 0.984 0.942  0.00
O 0.986 0.450 0.233  0.00
O 0.044 0.701 0.729  0.00
O 0.254 0.905 0.176  0.00
O 0.950 0.267 0.014  0.00
O 0.405 0.324 0.746  0.00
O 0.827 0.016 0.442  0.00
O 0.558 0.327 0.484  0.00
O 0.824 0.754 0.595  0.00
O 0.271 0.544 0.799  0.00
O 0.299 0.229 0.456  0.00
O 0.595 0.824 0.754  0.00
O 0.229 0.456 0.299  0.00
O 0.942 0.673 0.984  0.00
O 0.176 0.254 0.905  0.00
O 0.442 0.827 0.016  0.00
O 0.984 0.942 0.673  0.00
O 0.233 0.986 0.450  0.00
O 0.733 0.514 0.550  0.00
O 0.905 0.176 0.254  0.00
O 0.516 0.058 0.173  0.00
O 0.201 0.771 0.956  0.00
O 0.267 0.014 0.950  0.00
O 0.324 0.746 0.405  0.00
O 0.799 0.271 0.544  0.00
O 0.754 0.595 0.824  0.00
O 0.746 0.405 0.324  0.00
O 0.484 0.558 0.327  0.00
O 0.486 0.050 0.767  0.00
O 0.014 0.950 0.267  0.00
O 0.771 0.956 0.201  0.00
O 0.701 0.729 0.044  0.00
O 0.544 0.799 0.271  0.00
O 0.173 0.516 0.058  0.00
O 0.514 0.550 0.733  0.00
O 0.246 0.095 0.676  0.00
O 0.450 0.233 0.986  0.00
O 0.550 0.733 0.514  0.00
O 0.050 0.767 0.486  0.00
O 0.058 0.173 0.516  0.00
P 0.027 0.292 0.880  0.01
P 0.620 0.973 0.792  0.01
P 0.292 0.880 0.027  0.01
P 0.120 0.527 0.208  0.01
P 0.880 0.027 0.292  0.01
P 0.380 0.473 0.708  0.01
P 0.208 0.120 0.527  0.01
P 0.473 0.708 0.380  0.01
P 0.708 0.380 0.473  0.01
P 0.527 0.208 0.120  0.01
P 0.792 0.620 0.973  0.01
P 0.973 0.792 0.620  0.01
Ti 0.889 0.111 0.611  0.05
Ti 0.111 0.611 0.889  0.05
Ti 0.389 0.389 0.389  0.05
Ti 0.611 0.889 0.111  0.05
Cr 0.338 0.162 0.838  2.72
Cr 0.162 0.838 0.338  2.72
Cr 0.838 0.338 0.162  2.72
Cr 0.662 0.662 0.662  2.72

Its symmetry is No. 198. The calculation puts the formation energy (no corrections) at -44.4 eV/f.u.

---

No. 5
Computed, not measured: a relaxed structure of Rb2ReAuN at the GGA-PBEsol level of DFT.

Cell: 3.761 6.592 6.592 Å, 90.00 90.00 90.00°
Last column: magnetic moment on the atom in μB.
Fractional coordinates of all 5 atoms:
Re 0.000 0.000 0.000  1.88
Rb 0.000 0.000 0.500  0.01
Rb 0.000 0.500 0.000  0.01
Au 0.500 0.500 0.500  0.01
N 0.500 0.000 0.000  -0.10

The density of states at the Fermi level is 3.58 states/eV/cell. Its symmetry is No. 123. The calculation puts the formation energy (no corrections) at 3.4 eV/f.u.

---

No. 6
Computed, not measured: a relaxed structure of CaBe2Si at the GGA-PBEsol level of DFT.

Cell: 3.091 3.091 6.376 Å, 90.00 90.00 90.02°
Fractional coordinates of all 4 atoms:
Be 0.000 0.000 0.173
Be 0.000 0.000 0.827
Si 0.500 0.500 0.000
Ca 0.500 0.500 0.500

The density of states at the Fermi level is 2.04 states/eV/cell. Its symmetry is No. 123. The calculation puts the formation energy (no corrections) at 1.1 eV/f.u.

---

No. 7
Computed, not measured: a relaxed structure of Mg2BiBr at the GGA-PBEsol level of DFT.

Cell: 5.187 5.187 5.187 Å, 60.00 60.00 60.00°
Fractional coordinates of all 4 atoms:
Mg 0.750 0.750 0.750
Mg 0.250 0.250 0.250
Bi 0.500 0.500 0.500
Br 0.000 0.000 0.000

The density of states at the Fermi level is 0.95 states/eV/cell. Its symmetry is No. 225. The calculation puts the formation energy (no corrections) at -1.4 eV/f.u.

---

No. 8
Computed, not measured: a relaxed structure of Li2In at the GGA-PBEsol level of DFT.

Cell: 3.180 5.520 7.104 Å, 106.85 90.00 106.74°
Fractional coordinates of all 6 atoms:
Li 0.350 0.700 0.959
Li 0.978 0.957 0.700
Li 0.022 0.043 0.300
Li 0.650 0.300 0.041
In 0.690 0.381 0.641
In 0.310 0.619 0.359

The calculation puts the energy of formation at -0.23 eV/atom. The density of states at the Fermi level is 1.60 states/eV/cell. Its symmetry is No. 12.